Density functional theory data (PBE) for crystalline LuCuRhAu at its relaxed geometry.

Output
D(E_F) = 11.74 states/eV/cell
calculated total energy = -84.65 eV for the cell shown
magnetic moment = 0.00 μB per cell
calculated formation energy = -1.917 eV/f.u.

Cell: 6.498 6.498 6.498 Å, 90.00 90.00 90.00°
Fractional coordinates of all 16 atoms:
1 Lu 0.000 0.000 0.000
2 Lu 0.000 0.500 0.500
3 Lu 0.500 0.000 0.500
4 Lu 0.500 0.500 0.000
5 Cu 0.000 0.000 0.500
6 Cu 0.000 0.500 0.000
7 Cu 0.500 0.000 0.000
8 Cu 0.500 0.500 0.500
9 Rh 0.250 0.250 0.250
10 Rh 0.250 0.750 0.750
11 Rh 0.750 0.250 0.750
12 Rh 0.750 0.750 0.250
13 Au 0.250 0.250 0.750
14 Au 0.250 0.750 0.250
15 Au 0.750 0.250 0.250
16 Au 0.750 0.750 0.750


Density functional theory data (PBE) for crystalline SmLuCuAu at its relaxed geometry.

Output
D(E_F) = 12.29 states/eV/cell
calculated total energy = -74.84 eV for the cell shown
magnetic moment = 0.00 μB per cell
calculated formation energy = -2.096 eV/f.u.

Cell: 7.099 7.099 7.099 Å, 90.00 90.00 90.00°
Fractional coordinates of all 16 atoms:
1 Sm 0.000 0.000 0.000
2 Sm 0.000 0.500 0.500
3 Sm 0.500 0.000 0.500
4 Sm 0.500 0.500 0.000
5 Lu 0.000 0.000 0.500
6 Lu 0.000 0.500 0.000
7 Lu 0.500 0.000 0.000
8 Lu 0.500 0.500 0.500
9 Cu 0.250 0.250 0.250
10 Cu 0.250 0.750 0.750
11 Cu 0.750 0.250 0.750
12 Cu 0.750 0.750 0.250
13 Au 0.250 0.250 0.750
14 Au 0.250 0.750 0.250
15 Au 0.750 0.250 0.250
16 Au 0.750 0.750 0.750


Density functional theory data (PBE) for crystalline LuTlCuAu at its relaxed geometry.

Output
D(E_F) = 6.84 states/eV/cell
calculated total energy = -62.03 eV for the cell shown
magnetic moment = 0.00 μB per cell
calculated formation energy = -1.246 eV/f.u.

Cell: 6.835 6.835 6.835 Å, 90.00 90.00 90.00°
Fractional coordinates of all 16 atoms:
1 Lu 0.000 0.000 0.000
2 Lu 0.000 0.500 0.500
3 Lu 0.500 0.000 0.500
4 Lu 0.500 0.500 0.000
5 Tl 0.000 0.000 0.500
6 Tl 0.000 0.500 0.000
7 Tl 0.500 0.000 0.000
8 Tl 0.500 0.500 0.500
9 Cu 0.250 0.250 0.250
10 Cu 0.250 0.750 0.750
11 Cu 0.750 0.250 0.750
12 Cu 0.750 0.750 0.250
13 Au 0.250 0.250 0.750
14 Au 0.250 0.750 0.250
15 Au 0.750 0.250 0.250
16 Au 0.750 0.750 0.750


Density functional theory data (PBE) for crystalline TmLuCuAu at its relaxed geometry.

Output
D(E_F) = 10.75 states/eV/cell
calculated total energy = -74.86 eV for the cell shown
magnetic moment = 0.00 μB per cell
calculated formation energy = -2.348 eV/f.u.

Cell: 6.967 6.967 6.967 Å, 90.00 90.00 90.00°
Fractional coordinates of all 16 atoms:
1 Tm 0.000 0.000 0.000
2 Tm 0.000 0.500 0.500
3 Tm 0.500 0.000 0.500
4 Tm 0.500 0.500 0.000
5 Lu 0.000 0.000 0.500
6 Lu 0.000 0.500 0.000
7 Lu 0.500 0.000 0.000
8 Lu 0.500 0.500 0.500
9 Cu 0.250 0.250 0.750
10 Cu 0.250 0.750 0.250
11 Cu 0.750 0.250 0.250
12 Cu 0.750 0.750 0.750
13 Au 0.250 0.250 0.250
14 Au 0.250 0.750 0.750
15 Au 0.750 0.250 0.750
16 Au 0.750 0.750 0.250


Density functional theory data (PBE) for crystalline Mg2Cu2Au at its relaxed geometry.

Output
D(E_F) = 2.30 states/eV/cell
calculated total energy = -27.77 eV for the cell shown
magnetic moment = 0.00 μB per cell
relative energy among the computed polymorphs = 1.811 eV/f.u.
calculated formation energy = 0.775 eV/f.u.

Cell: 3.899 3.899 11.467 Å, 90.00 90.00 90.00°
Fractional coordinates of all 10 atoms:
1 Mg 0.000 0.500 0.250
2 Mg 0.000 0.500 0.750
3 Mg 0.500 0.000 0.250
4 Mg 0.500 0.000 0.750
5 Cu 0.000 0.000 0.099
6 Cu 0.000 0.000 0.901
7 Cu 0.500 0.500 0.401
8 Cu 0.500 0.500 0.599
9 Au 0.000 0.000 0.500
10 Au 0.500 0.500 0.000


Density functional theory data (PBE) for crystalline Mg5CuAu6 at its relaxed geometry.

Output
D(E_F) = 2.50 states/eV/cell
calculated total energy = -37.99 eV for the cell shown
magnetic moment = 0.00 μB per cell
calculated formation energy = -6.259 eV/f.u.

Cell: 8.033 8.033 4.657 Å, 106.69 106.69 120.79°
Fractional coordinates of all 12 atoms:
1 Mg 0.000 0.000 0.000
2 Mg 0.167 0.833 0.500
3 Mg 0.330 0.670 0.000
4 Mg 0.670 0.330 0.000
5 Mg 0.833 0.167 0.500
6 Cu 0.500 0.500 0.500
7 Au 0.094 0.417 0.256
8 Au 0.258 0.258 0.757
9 Au 0.417 0.094 0.256
10 Au 0.583 0.906 0.744
11 Au 0.742 0.742 0.243
12 Au 0.906 0.583 0.744


Repeat the third record exactly.
Density functional theory data (PBE) for crystalline LuTlCuAu at its relaxed geometry.

Output
D(E_F) = 6.84 states/eV/cell
calculated total energy = -62.03 eV for the cell shown
magnetic moment = 0.00 μB per cell
calculated formation energy = -1.246 eV/f.u.

Cell: 6.835 6.835 6.835 Å, 90.00 90.00 90.00°
Fractional coordinates of all 16 atoms:
1 Lu 0.000 0.000 0.000
2 Lu 0.000 0.500 0.500
3 Lu 0.500 0.000 0.500
4 Lu 0.500 0.500 0.000
5 Tl 0.000 0.000 0.500
6 Tl 0.000 0.500 0.000
7 Tl 0.500 0.000 0.000
8 Tl 0.500 0.500 0.500
9 Cu 0.250 0.250 0.250
10 Cu 0.250 0.750 0.750
11 Cu 0.750 0.250 0.750
12 Cu 0.750 0.750 0.250
13 Au 0.250 0.250 0.750
14 Au 0.250 0.750 0.250
15 Au 0.750 0.250 0.250
16 Au 0.750 0.750 0.750


Copy entry 2 word for word.
Density functional theory data (PBE) for crystalline SmLuCuAu at its relaxed geometry.

Output
D(E_F) = 12.29 states/eV/cell
calculated total energy = -74.84 eV for the cell shown
magnetic moment = 0.00 μB per cell
calculated formation energy = -2.096 eV/f.u.

Cell: 7.099 7.099 7.099 Å, 90.00 90.00 90.00°
Fractional coordinates of all 16 atoms:
1 Sm 0.000 0.000 0.000
2 Sm 0.000 0.500 0.500
3 Sm 0.500 0.000 0.500
4 Sm 0.500 0.500 0.000
5 Lu 0.000 0.000 0.500
6 Lu 0.000 0.500 0.000
7 Lu 0.500 0.000 0.000
8 Lu 0.500 0.500 0.500
9 Cu 0.250 0.250 0.250
10 Cu 0.250 0.750 0.750
11 Cu 0.750 0.250 0.750
12 Cu 0.750 0.750 0.250
13 Au 0.250 0.250 0.750
14 Au 0.250 0.750 0.250
15 Au 0.750 0.250 0.250
16 Au 0.750 0.750 0.750


The highest calculated formation energy belongs to which entry?
Mg2Cu2Au


Among the records above, which one has the lowest calculated formation energy?
Mg5CuAu6